# 1
Entry from Alexandria: a relaxed structure of ZrAg3Rh (PBE).

Values from the calculation:
The density of states at the Fermi level is 10.9 states/eV/f.u. The energy of formation is 8.54 eV per formula unit. The calculation puts the total energy at -15.91 eV per cell. The mass density comes out at 6.45 g cm⁻³.

Lattice parameters (Å, degrees): 5.1077 5.1077 5.1077 90.00 90.00 90.00
Closest atoms and distances in Å follow each position.
Positions (direct):
Zr (0.0000, 0.0000, 0.0000)  6 Ag 2.55
Ag (0.0000, 0.0000, 0.5000)  2 Zr 2.55
Ag (0.0000, 0.5000, 0.0000)  2 Zr 2.55
Ag (0.5000, 0.0000, 0.0000)  2 Zr 2.55
Rh (0.5000, 0.5000, 0.5000)  12 Ag 3.61

***

# 2
Entry from Alexandria: a relaxed structure of Ta2VH (PBE).

Values from the calculation:
The density of states at the Fermi level is 0.2 states/eV/f.u. The calculation puts the total energy at -67.56 eV per cell. The mass density comes out at 11.04 g cm⁻³.

Lattice parameters (Å, degrees): 5.6053 5.6053 5.6053 60.00 60.00 60.00
Closest atoms and distances in Å follow each position.
Positions (direct):
Ta (0.0000, 0.0000, 0.0000)  2 H 1.72
Ta (0.0000, 0.0000, 0.5000)  2 H 1.72
Ta (0.0000, 0.5000, 0.0000)  2 H 1.72
Ta (0.5000, 0.0000, 0.0000)  2 H 1.72
V (0.3750, 0.3750, 0.3750)  12 Ta 3.29, 4 V 3.43, 4 H 3.43
V (0.6250, 0.6250, 0.6250)  12 Ta 3.29, 4 H 3.43, 4 V 3.43
H (0.1250, 0.1250, 0.1250)  4 Ta 1.72
H (0.8750, 0.8750, 0.8750)  4 Ta 1.72

***

# 3
Entry from Alexandria: a relaxed structure of Pu2In9Hg (PBE).

Values from the calculation:
The density of states at the Fermi level is 24.7 states/eV/f.u. The energy of formation is -1.36 eV per formula unit. The calculation puts the total energy at -54.97 eV per cell. The mass density comes out at 9.31 g cm⁻³.

Lattice parameters (Å, degrees): 4.6437 4.6437 14.2378 90.00 90.00 90.00
Closest atoms and distances in Å follow each position.
Positions (direct):
Pu (0.0000, 0.0000, 0.1655)  12 In 3.28-3.31
Pu (0.0000, 0.0000, 0.8345)  12 In 3.28-3.31
In (0.0000, 0.5000, 0.0000)  8 In 3.24-3.28, 4 Pu 3.31
In (0.0000, 0.5000, 0.3308)  8 In 3.28-3.37, 2 Pu 3.31, 2 Hg 3.35
In (0.0000, 0.5000, 0.6692)  8 In 3.28-3.37, 2 Pu 3.31, 2 Hg 3.35
In (0.5000, 0.0000, 0.0000)  8 In 3.24-3.28, 4 Pu 3.31
In (0.5000, 0.0000, 0.3308)  8 In 3.28-3.37, 2 Pu 3.31, 2 Hg 3.35
In (0.5000, 0.0000, 0.6692)  8 In 3.28-3.37, 2 Pu 3.31, 2 Hg 3.35
In (0.5000, 0.5000, 0.1590)  8 In 3.24-3.37, 4 Pu 3.28
In (0.5000, 0.5000, 0.5000)  4 Hg 3.28, 8 In 3.35
In (0.5000, 0.5000, 0.8410)  8 In 3.24-3.37, 4 Pu 3.28
Hg (0.0000, 0.0000, 0.5000)  12 In 3.28-3.35

***

# 4
Entry from Alexandria: a relaxed structure of RbBa2Ir (PBE).

Values from the calculation:
The density of states at the Fermi level is 1.2 states/eV/f.u. The energy of formation is 1.42 eV per formula unit. The calculation puts the total energy at -12.26 eV per cell. The mass density comes out at 6.53 g cm⁻³.

Lattice parameters (Å, degrees): 5.8335 5.8335 5.8335 60.00 60.00 60.00
Closest atoms and distances in Å follow each position.
Positions (direct):
Rb (0.0000, 0.0000, 0.0000)  8 Ba 3.57
Ba (0.2500, 0.2500, 0.2500)  4 Ir 3.57, 4 Rb 3.57
Ba (0.7500, 0.7500, 0.7500)  4 Rb 3.57, 4 Ir 3.57
Ir (0.5000, 0.5000, 0.5000)  8 Ba 3.57